## PmSc2In3Te6 (PBE-GGA)

Data for a relaxed structure of PmSc2In3Te6.

```
PmSc2In3Te6
1.0
3.749 -6.477 0.000
3.749 6.477 0.000
-2.495 0.000 8.031
Pm Sc In Te
1 2 3 6
direct
0.000 0.000 0.000 Pm
0.332 0.668 0.000 Sc
0.668 0.332 0.000 Sc
0.160 0.840 0.500 In
0.500 0.500 0.500 In
0.840 0.160 0.500 In
0.072 0.423 0.217 Te
0.282 0.282 0.790 Te
0.423 0.072 0.217 Te
0.577 0.928 0.783 Te
0.718 0.718 0.210 Te
0.928 0.577 0.783 Te
```

Properties
N(E_F) (states/eV per cell): 0.76
Uncorrected formation energy (meV per atom): -890
Calculated volume (Å³ per cell): 390
Total magnetization (μB/f.u.): 0.00


## NdEr6In6 (PBE-GGA)

Data for a relaxed structure of NdEr6In6.

```
NdEr6In6
1.0
6.221 0.000 0.000
-3.111 5.388 0.000
0.000 0.000 10.712
Nd Er In
1 6 6
direct
0.000 0.000 0.000 Nd
0.000 0.000 0.342 Er
0.000 0.000 0.658 Er
0.333 0.667 0.000 Er
0.333 0.667 0.500 Er
0.667 0.333 0.000 Er
0.667 0.333 0.500 Er
0.000 0.500 0.245 In
0.000 0.500 0.755 In
0.500 0.000 0.245 In
0.500 0.000 0.755 In
0.500 0.500 0.245 In
0.500 0.500 0.755 In
```

Properties
N(E_F) (states/eV per cell): 13.94
Calculated volume (Å³ per cell): 359
Total magnetization (μB/f.u.): 0.00
Energy of formation (eV per formula unit): -4.23


## Tl6CdBi2 (PBE-GGA)

Data for a relaxed structure of Tl6CdBi2.

```
Tl6CdBi2
1.0
2.768 1.598 11.061
-2.768 1.598 11.061
0.000 -3.196 11.061
Tl Cd Bi
6 1 2
direct
0.092 0.092 0.092 Tl
0.196 0.196 0.196 Tl
0.302 0.302 0.302 Tl
0.698 0.698 0.698 Tl
0.804 0.804 0.804 Tl
0.908 0.908 0.908 Tl
0.500 0.500 0.500 Cd
0.400 0.400 0.400 Bi
0.600 0.600 0.600 Bi
```

Properties
N(E_F) (states/eV per cell): 4.56
Calculated volume (Å³ per cell): 294
Total magnetization (μB/f.u.): 0.00
Polymorph energy (0 for the lowest one) (meV per atom): 25
Energy of formation (eV per formula unit): 0.25


## LaMgO2 (PBE-GGA)

Data for a relaxed structure of LaMgO2.

```
LaMgO2
1.0
1.657 0.957 6.433
-1.657 0.957 6.433
0.000 -1.914 6.433
La Mg O
1 1 2
direct
0.000 0.000 0.000 La
0.500 0.500 0.500 Mg
0.111 0.111 0.111 O
0.889 0.889 0.889 O
```

Properties
N(E_F) (states/eV per cell): 1.28
Uncorrected formation energy (meV per atom): -2088
Calculated volume (Å³ per cell): 61
Total magnetization (μB/f.u.): 0.00


## Hf3GaSi (PBE-GGA)

Data for a relaxed structure of Hf3GaSi.

```
Hf3GaSi
1.0
8.314 0.000 0.000
0.000 5.288 0.000
-5.039 0.000 8.881
Hf Ga Si
12 4 4
direct
0.002 0.075 0.346 Hf
0.002 0.425 0.846 Hf
0.332 0.123 0.951 Hf
0.332 0.377 0.451 Hf
0.391 0.616 0.165 Hf
0.391 0.884 0.665 Hf
0.609 0.116 0.335 Hf
0.609 0.384 0.835 Hf
0.668 0.623 0.549 Hf
0.668 0.877 0.049 Hf
0.998 0.575 0.154 Hf
0.998 0.925 0.654 Hf
0.188 0.138 0.148 Ga
0.188 0.362 0.648 Ga
0.812 0.638 0.352 Ga
0.812 0.862 0.852 Ga
0.327 0.640 0.874 Si
0.327 0.860 0.374 Si
0.673 0.140 0.626 Si
0.673 0.360 0.126 Si
```

Properties
N(E_F) (states/eV per cell): 16.80
Uncorrected formation energy (meV per atom): -352
Calculated volume (Å³ per cell): 390
Total magnetization (μB/f.u.): 0.00
Polymorph energy (0 for the lowest one) (meV per atom): 0


## FeNiMo2 (PBE-GGA)

Data for a relaxed structure of FeNiMo2.

```
FeNiMo2
1.0
0.000 3.012 3.012
3.012 0.000 3.012
3.012 3.012 0.000
Fe Ni Mo
1 1 2
direct
0.000 0.000 0.000 Fe
0.750 0.750 0.750 Ni
0.250 0.250 0.250 Mo
0.500 0.500 0.500 Mo
```

Properties
N(E_F) (states/eV per cell): 5.09
Calculated volume (Å³ per cell): 55
Total magnetization (μB/f.u.): 2.01
Polymorph energy (0 for the lowest one) (meV per atom): 185
Energy of formation (eV per formula unit): 0.94


## CsMgGaSn2 (PBE-GGA)

Data for a relaxed structure of CsMgGaSn2.

```
CsMgGaSn2
1.0
-2.551 2.551 5.971
2.551 -2.551 5.971
2.551 2.551 -5.971
Cs Mg Ga Sn
1 1 1 2
direct
0.000 0.000 0.000 Cs
0.250 0.750 0.500 Mg
0.750 0.250 0.500 Ga
0.376 0.376 0.000 Sn
0.624 0.624 0.000 Sn
```

Properties
N(E_F) (states/eV per cell): 1.49
Calculated volume (Å³ per cell): 155
Total magnetization (μB/f.u.): 0.00
Energy of formation (eV per formula unit): -0.79


## ReAu2Se (PBE-GGA)

Data for a relaxed structure of ReAu2Se.

```
ReAu2Se
1.0
2.970 0.000 0.000
0.000 2.970 0.000
0.000 0.000 8.549
Re Au Se
1 2 1
direct
0.000 0.000 0.000 Re
0.000 0.000 0.528 Au
0.500 0.500 0.768 Au
0.500 0.500 0.170 Se
```

Properties
N(E_F) (states/eV per cell): 2.86
Uncorrected formation energy (meV per atom): 269
Calculated volume (Å³ per cell): 75
Total magnetization (μB/f.u.): 0.00